[1]
First-principles (PBE) data for a relaxed structure of Li4Sn3S8, as listed in the Alexandria database.

Cell and atoms, written as extended XYZ:
```
15
Lattice="7.4257 -0.1820 -0.2614 -3.6903 6.5826 0.1338 -3.6903 -2.1596 6.2197" Properties=species:S:1:pos:R:3 pbc="T T T"
Li -1.8451 -1.0798 3.1098
Li -1.8451 3.2913 0.0669
Li 0.0000 0.0000 0.0000
Li 3.7129 -0.0910 -0.1307
S -3.6903 -0.1190 4.7992
S 1.8270 3.0625 4.3992
S 0.0226 4.3384 1.5020
S 0.0226 -0.0975 4.5901
S -1.7818 1.1785 1.6929
S -3.6903 4.5420 1.5544
S -1.7929 3.2462 4.6631
S 1.8381 0.9948 1.4290
Sn 1.8677 -1.1708 2.9791
Sn 1.8677 3.2003 -0.0638
Sn 0.0226 2.1205 3.0460
```

- crystal system = monoclinic
- formation energy from raw total energies (meV/atom) = -594
- VASP energy (eV/atom) = -4.106
- E above lowest polymorph (meV/atom) = 184.8

---

[2]
First-principles (PBE) data for a relaxed structure of Cs3Th3ZnS8, as listed in the Alexandria database.

Cell and atoms, written as extended XYZ:
```
15
Lattice="-5.2581 -0.1486 -6.4374 6.7146 -4.8902 -0.0038 -7.0223 -2.5987 5.7953" Properties=species:S:1:pos:R:3 pbc="T T T"
Th -6.1402 -1.3737 -0.3210
Th -2.7829 -3.8188 -0.3229
Th -0.1538 -3.7444 2.8958
S -2.1660 -6.4980 -0.7933
S -6.0563 -1.2144 -3.1053
S 0.4904 -6.4231 2.4594
S -5.6001 -4.1587 -0.6977
S -2.9049 -3.9393 2.4633
S 0.0343 -3.4788 0.0519
S -2.6610 -3.6983 -3.1092
S -3.3999 -1.1396 0.1474
Cs 0.7282 -2.5194 -3.2206
Cs 3.3573 -2.4451 -0.0019
Cs 0.0000 0.0000 0.0000
Zn -3.5112 -1.2993 2.8977
```

- crystal system = monoclinic
- formation energy from raw total energies (meV/atom) = -1538
- VASP energy (eV/atom) = -5.479

---

[3]
First-principles (PBE) data for a relaxed structure of KTlReC2, as listed in the Alexandria database.

Cell and atoms, written as extended XYZ:
```
5
Lattice="-3.5142 -0.8111 -2.0962 1.8879 -4.8915 -1.2724 -1.7092 -1.5622 3.4698" Properties=species:S:1:pos:R:3 pbc="T T T"
Tl 0.9439 -2.4457 -0.6362
C -0.8546 -0.7811 1.7349
C -1.7571 -0.4055 -1.0481
K -1.6678 -3.6324 0.0506
Re 0.0000 0.0000 0.0000
```

- crystal system = tetragonal
- VASP energy (eV/atom) = -5.688

---

[4]
First-principles (PBE) data for a relaxed structure of PmSc3O, as listed in the Alexandria database.

Cell and atoms, written as extended XYZ:
```
5
Lattice="4.6598 0.0000 0.0000 0.0000 4.6598 0.0000 0.0000 0.0000 4.6598" Properties=species:S:1:pos:R:3 pbc="T T T"
Sc 2.3299 0.0000 0.0000
Sc 0.0000 0.0000 2.3299
Sc 0.0000 2.3299 0.0000
Pm 2.3299 2.3299 2.3299
O 0.0000 0.0000 0.0000
```

- crystal system = cubic
- formation energy from raw total energies (meV/atom) = -1001
- VASP energy (eV/atom) = -6.741

---

[5]
First-principles (PBE) data for a relaxed structure of LiLaPd4, as listed in the Alexandria database.

Cell and atoms, written as extended XYZ:
```
6
Lattice="-1.3644 -2.4262 -4.6460 -3.6893 -3.9652 -0.0027 -4.8903 0.8527 -2.1660" Properties=species:S:1:pos:R:3 pbc="T T T"
Pd -4.3683 -1.4747 -4.2608
Pd -6.2193 -3.4641 -4.2621
Pd -5.5348 -2.2468 -1.9312
Pd -3.7658 -3.8919 -3.1754
La -2.4860 -1.3847 -1.7037
Li 0.0000 0.0000 0.0000
```

- crystal system = cubic
- VASP energy (eV/atom) = -5.240

---

[6]
First-principles (PBE) data for a relaxed structure of IrC2, as listed in the Alexandria database.

Cell and atoms, written as extended XYZ:
```
9
Lattice="2.7427 4.0228 3.2006 -4.2384 1.5891 -3.6688 -1.9516 -0.3445 2.1054" Properties=species:S:1:pos:R:3 pbc="T T T"
Ir 0.4157 3.2115 0.9108
Ir -0.9758 -0.1723 1.0527
Ir -1.9114 2.4003 -1.3790
C -1.1566 0.4336 -1.0012
C 0.7485 1.0978 0.8734
C 0.7245 2.3216 3.0369
C -3.6033 0.8129 -1.2217
C -1.0875 4.0804 -0.3404
C -1.5443 1.9606 0.8747
```

- crystal system = hexagonal
- VASP energy (eV/atom) = -7.051
- E above lowest polymorph (meV/atom) = 1462.3

---

[7]
First-principles (PBE) data for a relaxed structure of TaTcP2, as listed in the Alexandria database.

Cell and atoms, written as extended XYZ:
```
8
Lattice="-3.9357 -2.2909 0.2988 1.0846 -2.3532 -3.7568 1.6920 -7.1649 2.2045" Properties=species:S:1:pos:R:3 pbc="T T T"
P -1.7616 -3.4359 0.2577
P 0.2383 -7.1988 0.2233
P 0.4693 -3.6297 -1.7489
P -1.2642 -9.3539 -1.2391
Tc 0.6755 -5.9201 -1.6407
Tc -1.4256 -2.3221 -1.7290
Ta -1.8347 -5.8890 0.3871
Ta 0.0000 0.0000 0.0000
```

- crystal system = tetragonal
- VASP energy (eV/atom) = -8.234
- E above lowest polymorph (meV/atom) = 684.5

---

[8]
First-principles (PBE) data for a relaxed structure of Ca2La3DyTe6, as listed in the Alexandria database.

Cell and atoms, written as extended XYZ:
```
12
Lattice="-0.6363 0.2355 -7.7447 6.9681 -0.9920 3.3018 -3.0987 -7.1437 1.3393" Properties=species:S:1:pos:R:3 pbc="T T T"
Te 3.6750 -6.2410 -0.5166
Te 4.0091 -2.2873 -3.0140
Te -0.7759 -5.6129 -0.0896
Te 2.0656 -2.0640 1.0554
Te 1.1676 -5.8362 -4.1590
Te -0.4418 -1.6592 -2.5870
La -0.8870 -3.5460 -5.1887
La 4.1202 -4.3542 2.0851
La 1.6166 -3.9501 -1.5518
Ca 4.4281 -0.5820 -0.3879
Ca 1.9037 -0.1745 -4.0550
Dy 0.0000 0.0000 0.0000
```

- crystal system = monoclinic
- formation energy from raw total energies (meV/atom) = -1536
- VASP energy (eV/atom) = -5.056

---

[9]
First-principles (PBE) data for a relaxed structure of Sr3VB, as listed in the Alexandria database.

Cell and atoms, written as extended XYZ:
```
5
Lattice="5.6348 0.0000 0.0000 0.0000 5.6348 0.0000 0.0000 0.0000 5.6348" Properties=species:S:1:pos:R:3 pbc="T T T"
Sr 0.0000 2.8174 0.0000
Sr 2.8174 0.0000 0.0000
Sr 0.0000 0.0000 2.8174
V 2.8174 2.8174 2.8174
B 0.0000 0.0000 0.0000
```

- crystal system = cubic
- VASP energy (eV/atom) = -3.356
- E above lowest polymorph (meV/atom) = 0.0

---

[10]
First-principles (PBE) data for a relaxed structure of RbInNiCl6, as listed in the Alexandria database.

Cell and atoms, written as extended XYZ:
```
9
Lattice="6.4870 0.0002 -0.0001 3.2437 5.6181 0.0000 0.0001 -0.0002 7.4181" Properties=species:S:1:pos:R:3 pbc="T T T"
Cl 8.4500 3.5762 5.1200
Cl 5.3589 2.1299 5.1201
Cl 7.3220 5.5302 2.2977
Cl 5.6521 5.5300 5.1201
Cl 7.6150 2.1299 2.2978
Cl 4.5240 3.5762 2.2978
Ni 6.4869 3.7455 3.7089
In 3.2435 1.8727 3.7089
Rb 6.4869 -0.0001 7.4179
```

- crystal system = trigonal
- formation energy from raw total energies (meV/atom) = -1139
- VASP energy (eV/atom) = -3.424

---

[11]
First-principles (PBE) data for a relaxed structure of KAgCl2, as listed in the Alexandria database.

Cell and atoms, written as extended XYZ:
```
16
Lattice="7.5929 -0.2495 0.0000 -1.2487 7.5228 0.0000 0.0000 0.0000 7.9954" Properties=species:S:1:pos:R:3 pbc="T T T"
Cl 6.2060 3.4683 1.8635
Cl 3.9629 2.0900 5.0704
Cl 2.3813 5.1833 2.9250
Cl 0.7626 0.0436 5.8612
Cl 3.0057 1.4219 1.0727
Cl 5.5817 7.2297 2.1342
Cl 3.3386 5.8514 6.9227
Cl 0.1382 3.8050 6.1318
Ag 4.2933 4.8674 1.0188
Ag 1.4266 6.1672 5.0165
Ag 2.0509 2.4058 6.9765
Ag 4.9177 1.1060 2.9789
K 5.2385 4.9976 4.5522
K 0.4814 6.0371 0.5545
K 5.8629 1.2362 7.4409
K 1.1057 2.2757 3.4432
```

- crystal system = monoclinic
- formation energy from raw total energies (meV/atom) = -1199
- VASP energy (eV/atom) = -3.109

---

[12]
First-principles (PBE) data for a relaxed structure of Ho4CdCu2Os, as listed in the Alexandria database.

Cell and atoms, written as extended XYZ:
```
8
Lattice="4.9714 0.0000 0.0000 2.4857 4.3053 0.0000 2.4857 1.4351 8.0970" Properties=species:S:1:pos:R:3 pbc="T T T"
Ho 2.4857 1.4351 4.8840
Ho 7.4571 4.3053 3.2130
Ho 4.9714 2.8702 1.2198
Ho 4.9714 2.8702 6.8772
Cu 7.4571 4.3053 6.2188
Cu 2.4857 1.4351 1.8782
Cd 0.0000 0.0000 0.0000
Os 4.9714 2.8702 4.0485
```

- crystal system = trigonal
- VASP energy (eV/atom) = -5.116

---

[13]
First-principles (PBE) data for a relaxed structure of Be16Tc2B, as listed in the Alexandria database.

Cell and atoms, written as extended XYZ:
```
19
Lattice="-0.3953 2.4575 -4.8263 -4.9203 2.1719 0.7500 1.6685 4.9119 1.6056" Properties=species:S:1:pos:R:3 pbc="T T T"
Be -1.2113 8.4524 -2.8368
Be -3.2031 3.8032 -2.4043
Be 0.0473 5.1549 -1.9823
Be -0.3449 4.0821 1.3402
Be 0.2298 3.2131 -2.8639
Be -3.6905 4.3994 -0.4946
Be 1.0337 4.1691 -0.3586
Be -1.4681 4.5397 -3.2334
Be -0.4545 5.7452 -0.0745
Be -3.4456 8.3113 -0.0834
Be -3.5400 2.2671 -0.9525
Be -4.4646 7.0994 -3.2592
Be -2.1849 5.0140 0.7686
Be -2.9113 3.0148 1.0070
Be -1.7775 2.3783 -3.1245
Be -0.3337 0.8731 -0.2261
Tc -2.4358 6.3724 -1.6501
Tc -1.2411 3.2469 -0.8408
B -3.2515 8.5063 -2.2027
```

- crystal system = trigonal
- VASP energy (eV/atom) = -4.697

---

[14]
First-principles (PBE) data for a relaxed structure of TaZnOF2, as listed in the Alexandria database.

Cell and atoms, written as extended XYZ:
```
5
Lattice="3.7675 0.0000 0.0000 0.0000 3.7675 0.0000 0.0000 0.0000 4.6406" Properties=species:S:1:pos:R:3 pbc="T T T"
F 1.8837 0.0000 0.0000
F 0.0000 1.8837 0.0000
Ta 1.8837 1.8837 2.3203
O 0.0000 0.0000 2.3203
Zn 0.0000 0.0000 0.0000
```

- crystal system = tetragonal
- formation energy from raw total energies (meV/atom) = -725
- VASP energy (eV/atom) = -5.091
- E above lowest polymorph (meV/atom) = 1058.8

---

[15]
First-principles (PBE) data for a relaxed structure of Te2MoAu, as listed in the Alexandria database.

Cell and atoms, written as extended XYZ:
```
4
Lattice="-4.1490 -0.5436 -2.9197 -3.3297 -1.7590 3.4429 2.8459 4.2123 0.4381" Properties=species:S:1:pos:R:3 pbc="T T T"
Mo -2.5213 1.2587 -1.1100
Te 0.0000 0.0000 0.0000
Te -3.7393 -1.1513 0.2616
Au -2.1116 0.6510 2.0713
```

- crystal system = tetragonal
- formation energy from raw total energies (meV/atom) = 474
- VASP energy (eV/atom) = -4.624
- E above lowest polymorph (meV/atom) = 373.5

---

[16]
First-principles (PBE) data for a relaxed structure of Tb3Y3Er4, as listed in the Alexandria database.

Cell and atoms, written as extended XYZ:
```
10
Lattice="3.6964 0.0000 0.0000 0.0000 9.3114 -0.0361 0.0000 0.0458 9.3114" Properties=species:S:1:pos:R:3 pbc="T T T"
Er 0.0000 8.1899 8.1093
Er 0.0000 3.5109 5.8157
Er 0.0000 1.1762 1.1570
Er 0.0000 5.8368 3.4693
Y 1.8482 7.7109 1.5786
Y 1.8482 6.2942 6.2411
Y 1.8482 3.0610 3.0363
Tb 0.0000 4.6661 -0.0133
Tb 0.0000 9.3295 4.6093
Tb 1.8482 1.6436 7.6995
```

- crystal system = orthorhombic
- VASP energy (eV/atom) = -5.064

---

[17]
First-principles (PBE) data for a relaxed structure of RbLiTb2S4, as listed in the Alexandria database.

Cell and atoms, written as extended XYZ:
```
16
Lattice="-1.7511 2.7047 -2.4846 -5.1243 -2.3506 4.3842 3.0386 10.3061 9.0773" Properties=species:S:1:pos:R:3 pbc="T T T"
S -2.7969 0.5666 2.5879
S -1.0399 10.0936 8.3890
S -1.0963 3.7657 1.5404
S -1.9174 3.5493 5.2150
S -2.7405 6.8944 9.4364
S 1.5193 5.1530 4.5387
S 0.0000 0.0000 0.0000
S -1.9194 7.1108 5.7618
Rb -4.8447 3.1421 3.5032
Rb 1.0079 7.5181 7.4736
Tb -1.1494 5.6134 3.5892
Tb -2.3007 1.7088 0.1501
Tb -2.6874 5.0467 7.3876
Tb -1.5361 8.9513 10.8267
Li -2.5507 8.4240 7.6362
Li -1.2861 2.2361 3.3406
```

- crystal system = orthorhombic
- formation energy from raw total energies (meV/atom) = -1847
- VASP energy (eV/atom) = -5.428

---

[18]
First-principles (PBE) data for a relaxed structure of Na2ZnAg4, as listed in the Alexandria database.

Cell and atoms, written as extended XYZ:
```
7
Lattice="2.8608 0.0000 0.0000 0.0000 4.6497 0.0000 0.0000 -2.3248 10.7038" Properties=species:S:1:pos:R:3 pbc="T T T"
Na 1.4304 0.0000 1.6685
Na 1.4304 2.3248 9.0353
Ag 0.0000 2.3248 3.4190
Ag 1.4304 2.3248 6.1337
Ag 1.4304 0.0000 4.5701
Ag 0.0000 0.0000 7.2848
Zn 0.0000 2.3248 0.0000
```

- crystal system = orthorhombic
- VASP energy (eV/atom) = -2.123

---

[19]
First-principles (PBE) data for a relaxed structure of Er4Cd2InRh, as listed in the Alexandria database.

Cell and atoms, written as extended XYZ:
```
8
Lattice="-3.2268 3.6497 -1.6961 -3.4874 -1.1251 -3.6307 -7.7080 -1.2516 4.1270" Properties=species:S:1:pos:R:3 pbc="T T T"
Er -9.0938 -0.0839 1.4317
Er -5.5502 -0.4259 1.7985
Er -8.8720 1.6989 -2.9983
Er -5.3284 1.3570 -2.6315
In 0.0000 0.0000 0.0000
Cd -3.4944 0.3608 -0.4199
Cd -10.9278 0.9123 -0.7799
Rh -7.2111 0.6365 -0.5999
```

- crystal system = trigonal
- VASP energy (eV/atom) = -4.266

---

[20]
First-principles (PBE) data for a relaxed structure of PrDy3Tl3, as listed in the Alexandria database.

Cell and atoms, written as extended XYZ:
```
14
Lattice="5.2437 0.0000 0.0000 0.0000 9.5305 0.0000 0.0000 -4.7653 8.2537" Properties=species:S:1:pos:R:3 pbc="T T T"
Tl 1.3109 1.4627 3.6916
Tl 3.9328 3.3025 4.5620
Tl 3.9328 7.0648 3.1126
Tl 3.9328 3.9284 0.5791
Tl 1.3109 -2.2996 5.1411
Tl 1.3109 0.8368 7.6746
Pr 3.9328 0.0000 5.5024
Pr 1.3109 4.7653 2.7512
Dy 1.3109 -1.0978 1.9234
Dy 3.9328 1.1168 1.9124
Dy 1.3109 3.6484 6.3412
Dy 3.9328 7.3159 0.0110
Dy 3.9328 5.8630 6.3302
Dy 1.3109 -2.5506 8.2427
```

- crystal system = hexagonal
- VASP energy (eV/atom) = -3.926

---

Total moment, respectively: 0.065; 0.000; 0.000; 0.001; 0.000; 0.000; 0.000; 0.000; 0.773; 0.235; 0.000; 0.000; 0.000; 0.585; 0.000; 0.000; 0.000; 0.000; 0.000; 0.000 μB per atom.